Entry 1:
CaSnI: optimized geometry, GGA-PBE.

a b c (Å): 4.5103 4.5103 38.3927
angles (deg): 90.00 90.00 120.00
Space group R-3m (No. 166, hexagonal axes)
Unique sites:
Ca 0.0000 0.0000 0.0692
Sn 0.0000 0.0000 0.3505
I 0.0000 0.0000 0.2183

Summary:
Formation energy without anion corrections   -97 kJ per mole of atoms

Entry 2:
NdEr6Se8: optimized geometry, GGA-PBE.

a b c (Å): 11.4125 11.4125 11.4125
angles (deg): 90.00 90.00 90.00
Space group Fm-3m (No. 225)
Unique sites:
Nd 0.0000 0.0000 0.0000
Er 0.0000 0.2500 0.2500
Se 0.0000 0.0000 0.2615
Se 0.2500 0.2500 0.2500

Summary:
E above lowest polymorph   0 meV/atom
Formation energy without anion corrections   -173 kJ per mole of atoms

Entry 3:
CaRe2Se: optimized geometry, GGA-PBE.

a b c (Å): 3.2521 4.2854 5.2072
angles (deg): 90.00 90.00 90.00
Space group Pmmm (No. 47)
Unique sites:
Ca 0.0000 0.0000 0.0000
Re 0.0000 0.5000 0.5000
Re 0.5000 0.0000 0.5000
Se 0.5000 0.5000 0.0000

Summary:
Formation energy without anion corrections   42 kJ per mole of atoms

Entry 4:
Sm5Dy8Er: optimized geometry, GGA-PBE.

a b c (Å): 9.5992 9.5992 10.0726
angles (deg): 90.00 90.00 90.00
Space group I-4 (No. 82)
Unique sites:
Sm 0.0000 0.0000 0.0000
Sm 0.1094 0.2128 0.5780
Dy 0.0706 0.3253 0.9064
Dy 0.0865 0.1765 0.2474
Er 0.0000 0.5000 0.2500

Summary:
Formation enthalpy at 0 K   248 meV per atom

Entry 5:
NiRu2Pt8: optimized geometry, GGA-PBE.

a b c (Å): 14.1035 3.9075 6.2122
angles (deg): 90.00 105.36 90.00
Space group C2/m (No. 12)
Unique sites:
Ni 0.0000 0.0000 0.0000
Ru 0.2275 0.5000 0.6290
Pt 0.0471 0.5000 0.7340
Pt 0.0932 0.0000 0.4546
Pt 0.1367 0.5000 0.1885
Pt 0.1818 0.0000 0.9167

Summary:
Formation enthalpy at 0 K   -21 meV per atom

Entry 6:
SbIrF2: optimized geometry, GGA-PBE.

a b c (Å): 3.7942 3.7942 16.4944
angles (deg): 90.00 90.00 90.00
Space group I-42d (No. 122)
Unique sites:
Sb 0.0000 0.0000 0.0000
Ir 0.0000 0.0000 0.5000
F 0.2430 0.2500 0.6250

Summary:
E above lowest polymorph   0 meV/atom
Formation energy without anion corrections   -65 kJ per mole of atoms

Entry 7:
PuZr2TcN4: optimized geometry, GGA-PBE.

a b c (Å): 3.2159 11.4038 11.2701
angles (deg): 90.00 90.00 90.00
Space group Cmcm (No. 63)
Unique sites:
Pu 0.0000 0.1159 0.2500
Zr 0.0000 0.3695 0.0462
Tc 0.0000 0.1461 0.7500
N 0.0000 0.0000 0.0000
N 0.0000 0.2711 0.6184
N 0.0000 0.4671 0.2500

Summary:
Formation energy without anion corrections   -104 kJ per mole of atoms

Entry 8:
SnTeOsI2: optimized geometry, GGA-PBE.

a b c (Å): 5.4901 5.4901 5.1332
angles (deg): 90.00 90.00 90.00
Space group P4/mmm (No. 123)
Unique sites:
Sn 0.0000 0.0000 0.0000
Te 0.5000 0.5000 0.0000
Os 0.5000 0.5000 0.5000
I 0.0000 0.5000 0.5000

Summary:
E above lowest polymorph   0 meV/atom
Formation energy without anion corrections   56 kJ per mole of atoms

Entry 9:
Li5PrMg7: optimized geometry, GGA-PBE.

a b c (Å): 5.4447 10.2927 10.3624
angles (deg): 90.00 90.00 90.00
Space group Imm2 (No. 44)
Unique sites:
Li 0.0000 0.0000 0.0000
Li 0.2489 0.2481 0.9683
Pr 0.0000 0.5000 0.7207
Mg 0.0000 0.0000 0.4341
Mg 0.0000 0.1484 0.7171
Mg 0.0000 0.2092 0.2174
Mg 0.0000 0.5000 0.0725
Mg 0.0000 0.5000 0.3688

Summary:
Formation enthalpy at 0 K   -50 meV per atom

Entry 10:
KMoSe2N: optimized geometry, GGA-PBE.

a b c (Å): 5.2097 5.2097 3.8714
angles (deg): 90.00 90.00 90.00
Space group P4/mmm (No. 123)
Unique sites:
K 0.0000 0.0000 0.0000
Mo 0.5000 0.5000 0.5000
Se 0.0000 0.5000 0.5000
N 0.5000 0.5000 0.0000

Summary:
E above lowest polymorph   0 meV/atom
Formation energy without anion corrections   -24 kJ per mole of atoms

Entry 11:
CaY2P2: optimized geometry, GGA-PBE.

a b c (Å): 4.5732 4.5732 12.7193
angles (deg): 90.00 90.00 90.00
Space group I4/mmm (No. 139)
Unique sites:
Ca 0.0000 0.0000 0.0000
Y 0.0000 0.5000 0.2500
P 0.0000 0.0000 0.3762

Summary:
E above lowest polymorph   368 meV/atom
Formation enthalpy at 0 K   -812 meV per atom

Entry 12:
TaCu2Pt5: optimized geometry, GGA-PBE.

a b c (Å): 5.5323 11.0476 3.9720
angles (deg): 90.00 90.00 90.00
Space group Pbam (No. 55)
Unique sites:
Ta 0.0000 0.0000 0.0000
Cu 0.2282 0.3700 0.5000
Pt 0.0000 0.5000 0.0000
Pt 0.0248 0.7615 0.0000
Pt 0.2377 0.1166 0.5000

Summary:
Formation enthalpy at 0 K   -366 meV per atom

Entry 13:
LiAu3N: optimized geometry, GGA-PBE.

a b c (Å): 4.5096 4.5096 4.5096
angles (deg): 90.00 90.00 90.00
Space group Pm-3m (No. 221)
Unique sites:
Li 0.0000 0.0000 0.0000
Au 0.0000 0.0000 0.5000
N 0.5000 0.5000 0.5000

Summary:
E above lowest polymorph   939 meV/atom
Formation energy without anion corrections   134 kJ per mole of atoms

Entry 14:
MgTa2Si: optimized geometry, GGA-PBE.

a b c (Å): 5.6977 8.2858 2.8574
angles (deg): 90.00 90.00 90.00
Space group Cmmm (No. 65)
Unique sites:
Mg 0.0000 0.0000 0.0000
Ta 0.2500 0.2500 0.5000
Si 0.0000 0.5000 0.0000

Summary:
Formation energy without anion corrections   9 kJ per mole of atoms

Entry 15:
KHg5Te4: optimized geometry, GGA-PBE.

a b c (Å): 9.3935 13.0376 5.8544
angles (deg): 90.00 90.00 90.00
Space group Pmmn (No. 59, origin choice 2)
Unique sites:
K 0.2500 0.2500 0.0006
Hg 0.0470 0.5532 0.3058
Hg 0.2500 0.7500 0.7097
Te 0.0260 0.2500 0.4910
Te 0.2500 0.5414 0.9456

Summary:
Formation energy without anion corrections   -20 kJ per mole of atoms

Entry 16:
HfCdBi3: optimized geometry, GGA-PBE.

a b c (Å): 5.5340 5.5340 5.5340
angles (deg): 90.00 90.00 90.00
Space group Pm-3m (No. 221)
Unique sites:
Hf 0.0000 0.0000 0.0000
Cd 0.5000 0.5000 0.5000
Bi 0.0000 0.5000 0.5000

Summary:
E above lowest polymorph   701 meV/atom
Formation enthalpy at 0 K   1026 meV per atom

Entry 17:
NbVIn2: optimized geometry, GGA-PBE.

a b c (Å): 6.7459 6.7459 6.7459
angles (deg): 90.00 90.00 90.00
Space group Fm-3m (No. 225)
Unique sites:
Nb 0.0000 0.0000 0.0000
V 0.0000 0.0000 0.5000
In 0.2500 0.2500 0.2500

Summary:
E above lowest polymorph   0 meV/atom
Formation enthalpy at 0 K   311 meV per atom